No. 1
This record from the Alexandria database describes crystalline LiBeMo2 at its relaxed geometry. The functional is GGA-PBE.

Cell: 4.089 2.579 5.440 Å, 69.91 90.00 90.00°
Positions (direct):
Be (0.500, 0.250, 0.250)
Li (0.500, 0.750, 0.750)
Mo (0.000, 0.007, 0.008)
Mo (0.000, 0.493, 0.492)

Summary:
energy relative to the elements	317	meV per atom
ΔE to the lowest computed polymorph	83	meV/atom
calculated volume	53.9	Å³ per cell
symmetry	P2/m, No. 10
total moment	0.0	Bohr magnetons per cell

=====

No. 2
This record from the Alexandria database describes crystalline AcSi2Au5 at its relaxed geometry. The functional is GGA-PBE.

Cell: 4.454 6.610 6.610 Å, 66.01 70.31 70.31°
Positions (direct):
Ac (0.000, 0.000, 0.000)
Si (0.757, 0.743, 0.743)
Si (0.243, 0.257, 0.257)
Au (0.000, 0.500, 0.500)
Au (0.647, 0.553, 0.153)
Au (0.353, 0.447, 0.847)
Au (0.353, 0.847, 0.447)
Au (0.647, 0.153, 0.553)

Summary:
energy relative to the elements, uncorrected	-39.7	kJ per mole of atoms
calculated volume	162.8	Å³ per cell
symmetry	Immm, No. 71
total moment	0.0	Bohr magnetons per cell

=====

No. 3
This record from the Alexandria database describes crystalline CeGdHoCd at its relaxed geometry. The functional is GGA-PBE.

Cell: 5.410 5.410 5.410 Å, 60.00 60.00 60.00°
Each line ends with the local moment (μB).
Positions (direct):
Gd (0.000, 0.000, 0.000)  7.51
Ho (0.500, 0.500, 0.500)  0.58
Ce (0.250, 0.250, 0.250)  1.35
Cd (0.750, 0.750, 0.750)  -0.01

Summary:
energy relative to the elements	38	meV per atom
calculated volume	111.9	Å³ per cell
symmetry	F-43m, No. 216
total moment	10.7	Bohr magnetons per cell

=====

No. 4
This record from the Alexandria database describes crystalline K4Sm3PuO8 at its relaxed geometry. The functional is GGA-PBE.

Cell: 7.173 7.531 7.173 Å, 118.45 120.00 90.00°
Each line ends with the local moment (μB).
Positions (direct):
K (0.500, 0.000, 0.000)  0.00
K (0.500, 0.000, 0.500)  0.00
K (0.000, 0.000, 0.000)  0.00
K (0.000, 0.000, 0.500)  0.00
Sm (0.500, 0.500, 0.000)  0.03
Sm (0.500, 0.500, 0.500)  0.03
Sm (0.000, 0.500, 0.500)  0.03
Pu (0.000, 0.500, 0.000)  4.88
O (0.229, 0.689, 0.960)  -0.03
O (0.229, 0.689, 0.458)  -0.03
O (0.270, 0.311, 0.540)  0.00
O (0.731, 0.689, 0.960)  -0.03
O (0.269, 0.311, 0.040)  -0.03
O (0.730, 0.689, 0.460)  0.00
O (0.771, 0.311, 0.542)  -0.03
O (0.771, 0.311, 0.040)  -0.03

Summary:
energy relative to the elements, uncorrected	-249.1	kJ per mole of atoms
calculated volume	280.3	Å³ per cell
symmetry	R-3m, No. 166
total moment	5.0	Bohr magnetons per cell

=====

No. 5
This record from the Alexandria database describes crystalline PdCO2F at its relaxed geometry. The functional is GGA-PBE.

Cell: 3.951 3.951 4.057 Å, 90.00 90.00 90.00°
Each line ends with the local moment (μB).
Positions (direct):
C (0.500, 0.500, 0.500)  0.65
O (0.000, 0.500, 0.000)  -0.44
O (0.500, 0.000, 0.000)  -0.44
Pd (0.000, 0.000, 0.000)  -0.40
F (0.000, 0.000, 0.500)  0.00

Summary:
energy relative to the elements, uncorrected	117.4	kJ per mole of atoms
calculated volume	63.3	Å³ per cell
symmetry	P4/mmm, No. 123
total moment	0.2	Bohr magnetons per cell

=====

No. 6
This record from the Alexandria database describes crystalline ErZr2Tl at its relaxed geometry. The functional is GGA-PBE.

Cell: 4.602 4.564 4.564 Å, 90.00 90.00 90.00°
Positions (direct):
Tl (0.500, 0.500, 0.500)
Zr (0.000, 0.000, 0.500)
Zr (0.000, 0.500, 0.000)
Er (0.500, 0.000, 0.000)

Summary:
energy relative to the elements	-76	meV per atom
ΔE to the lowest computed polymorph	80	meV/atom
calculated volume	95.9	Å³ per cell
symmetry	P4/mmm, No. 123
total moment	0.0	Bohr magnetons per cell

=====

No. 7
This record from the Alexandria database describes crystalline LaPm2Nd4Mg at its relaxed geometry. The functional is GGA-PBE.

Cell: 5.946 9.666 5.945 Å, 52.00 90.00 90.00°
Positions (direct):
La (0.500, 0.500, 0.000)
Pm (0.000, 0.000, 0.000)
Pm (0.500, 0.000, 0.500)
Nd (0.000, 0.737, 0.762)
Nd (0.000, 0.263, 0.238)
Nd (0.500, 0.737, 0.262)
Nd (0.500, 0.263, 0.738)
Mg (0.000, 0.500, 0.500)

Summary:
energy relative to the elements	79	meV per atom
calculated volume	269.3	Å³ per cell
symmetry	P4/mmm, No. 123
total moment	0.0	Bohr magnetons per cell

=====

No. 8
This record from the Alexandria database describes crystalline CaTbAgSe3 at its relaxed geometry. The functional is GGA-PBE.

Cell: 4.095 8.197 9.308 Å, 103.04 90.00 90.00°
Positions (direct):
Ca (0.250, 0.198, 0.249)
Ca (0.750, 0.802, 0.751)
Tb (0.250, 0.677, 0.170)
Tb (0.750, 0.323, 0.830)
Ag (0.250, 0.094, 0.586)
Ag (0.750, 0.906, 0.414)
Se (0.750, 0.916, 0.133)
Se (0.250, 0.084, 0.867)
Se (0.250, 0.729, 0.490)
Se (0.750, 0.271, 0.510)
Se (0.750, 0.424, 0.153)
Se (0.250, 0.576, 0.847)

Summary:
energy relative to the elements, uncorrected	-141.0	kJ per mole of atoms
calculated volume	304.4	Å³ per cell
symmetry	P2_1/m, No. 11
total moment	0.0	Bohr magnetons per cell

=====

No. 9
This record from the Alexandria database describes crystalline ZnH6Se2O8 at its relaxed geometry. The functional is GGA-PBE.

Cell: 7.113 7.199 8.560 Å, 63.50 90.00 90.00°
Positions (direct):
Zn (0.500, 0.000, 0.500)
Zn (0.000, 0.000, 0.000)
H (0.328, 0.210, 0.920)
H (0.499, 0.497, 0.748)
H (0.999, 0.503, 0.752)
H (0.783, 0.892, 0.377)
H (0.828, 0.790, 0.580)
H (0.283, 0.108, 0.123)
H (0.717, 0.892, 0.877)
H (0.172, 0.210, 0.420)
H (0.217, 0.108, 0.623)
H (0.001, 0.497, 0.248)
H (0.501, 0.503, 0.252)
H (0.672, 0.790, 0.080)
Se (0.290, 0.686, 0.353)
Se (0.210, 0.686, 0.853)
Se (0.790, 0.314, 0.147)
Se (0.710, 0.314, 0.647)
O (0.902, 0.278, 0.778)
O (0.225, 0.188, 0.004)
O (0.528, 0.345, 0.784)
O (0.028, 0.655, 0.716)
O (0.725, 0.812, 0.496)
O (0.348, 0.931, 0.317)
O (0.402, 0.722, 0.722)
O (0.848, 0.069, 0.183)
O (0.152, 0.931, 0.817)
O (0.598, 0.278, 0.278)
O (0.652, 0.069, 0.683)
O (0.275, 0.188, 0.504)
O (0.972, 0.345, 0.284)
O (0.472, 0.655, 0.216)
O (0.775, 0.812, 0.996)
O (0.098, 0.722, 0.222)

Summary:
calculated volume	392.3	Å³ per cell
symmetry	P2_1/c, No. 14
total moment	0.0	Bohr magnetons per cell

=====

No. 10
This record from the Alexandria database describes crystalline Y3SeS2 at its relaxed geometry. The functional is GGA-PBE.

Cell: 3.980 5.617 6.890 Å, 114.06 106.79 90.00°
Positions (direct):
Y (0.822, 0.322, 0.144)
Y (0.178, 0.678, 0.856)
Y (0.500, 0.000, 0.500)
Se (0.500, 0.500, 0.500)
S (0.837, 0.837, 0.174)
S (0.163, 0.163, 0.826)

Summary:
ΔE to the lowest computed polymorph	0	meV/atom
energy relative to the elements, uncorrected	-184.3	kJ per mole of atoms
calculated volume	133.4	Å³ per cell
symmetry	Immm, No. 71
total moment	0.0	Bohr magnetons per cell

=====

No. 11
This record from the Alexandria database describes crystalline Mn2NiRh at its relaxed geometry. The functional is GGA-PBE.

Cell: 4.561 4.561 4.561 Å, 132.75 132.74 69.05°
Each line ends with the local moment (μB).
Positions (direct):
Mn (0.000, 0.000, 0.000)  2.44
Mn (0.750, 0.250, 0.500)  2.78
Ni (0.500, 0.500, 0.000)  0.46
Rh (0.250, 0.750, 0.500)  0.10

Summary:
energy relative to the elements	24	meV per atom
calculated volume	50.2	Å³ per cell
symmetry	I-4m2, No. 119
total moment	5.9	Bohr magnetons per cell

=====

No. 12
This record from the Alexandria database describes crystalline LaTb6Sm12 at its relaxed geometry. The functional is GGA-PBE.

Cell: 8.827 8.827 8.827 Å, 99.06 99.06 99.06°
Positions (direct):
La (0.000, 0.000, 0.000)
Tb (0.900, 0.341, 0.900)
Tb (0.900, 0.900, 0.341)
Tb (0.341, 0.900, 0.900)
Tb (0.100, 0.100, 0.659)
Tb (0.100, 0.659, 0.100)
Tb (0.659, 0.100, 0.100)
Sm (0.760, 0.240, 0.500)
Sm (0.355, 0.082, 0.355)
Sm (0.355, 0.355, 0.082)
Sm (0.918, 0.645, 0.645)
Sm (0.645, 0.645, 0.918)
Sm (0.645, 0.918, 0.645)
Sm (0.500, 0.760, 0.240)
Sm (0.240, 0.500, 0.760)
Sm (0.240, 0.760, 0.500)
Sm (0.500, 0.240, 0.760)
Sm (0.760, 0.500, 0.240)
Sm (0.082, 0.355, 0.355)

Summary:
energy relative to the elements	196	meV per atom
ΔE to the lowest computed polymorph	56	meV/atom
calculated volume	658.9	Å³ per cell
symmetry	R-3m, No. 166
total moment	0.0	Bohr magnetons per cell

=====

For the records above, the corresponding DFT total energy values read -6.509 -4.329 -6.339 -7.116 -4.024 -6.083 -4.308 -4.784 -5.002 -7.099 -7.844 -4.506 eV/atom.